Entry 1:
RbNaSr | PBE | relaxed

abc: 4.395 4.395 10.519
angles: 90.00 90.00 120.00
Atoms (fractional coordinates):
Sr1 0.000 0.000 0.027
Rb1 0.333 0.667 0.653
Na1 0.667 0.333 0.319

Output
Calculated total energy   -1.217 eV per atom
Distance to the lowest polymorph of the same formula   31 meV per atom
N(E_F)   3.24 states/eV per cell

Entry 2:
Rb4NaSr | PBE | relaxed

abc: 8.654 8.654 8.654
angles: 60.00 60.00 60.00
Atoms (fractional coordinates):
Rb1 0.625 0.625 0.625
Rb2 0.124 0.625 0.625
Rb3 0.625 0.625 0.124
Sr1 0.250 0.250 0.250
Na1 0.000 0.000 0.000
Rb4 0.625 0.124 0.625

Output
Calculated total energy   -0.952 eV per atom
N(E_F)   5.73 states/eV per cell

Entry 3:
RbNa2Sr2 | PBE | relaxed

abc: 4.505 4.505 14.133
angles: 80.83 80.83 90.00
Atoms (fractional coordinates):
Rb1 0.000 0.000 0.000
Na1 0.750 0.250 0.500
Na2 0.250 0.750 0.500
Sr1 0.371 0.371 0.258
Sr2 0.629 0.629 0.742

Output
Calculated total energy   -1.227 eV per atom
Distance to the lowest polymorph of the same formula   78 meV per atom
N(E_F)   4.44 states/eV per cell

Entry 4:
Rb2NaSr2 | PBE | relaxed

abc: 5.441 5.441 12.256
angles: 77.18 77.18 90.00
Atoms (fractional coordinates):
Sr1 0.586 0.586 0.827
Sr2 0.414 0.414 0.173
Rb1 0.250 0.750 0.500
Rb2 0.750 0.250 0.500
Na1 0.000 0.000 0.000

Output
Calculated total energy   -1.012 eV per atom
Distance to the lowest polymorph of the same formula   103 meV per atom
N(E_F)   6.15 states/eV per cell

Entry 5:
RbNaSr3 | PBE | relaxed

abc: 7.374 7.374 7.374
angles: 90.00 90.00 90.00
Atoms (fractional coordinates):
Sr1 0.000 0.000 0.500
Sr2 0.500 0.000 0.000
Sr3 0.000 0.500 0.000
Na1 0.500 0.500 0.500
Rb1 0.000 0.000 0.000

Output
Calculated total energy   -0.756 eV per atom
Distance to the lowest polymorph of the same formula   463 meV per atom
N(E_F)   5.35 states/eV per cell

Entry 6:
Rb3Na8Sr | PBE | relaxed

abc: 7.452 7.452 12.288
angles: 90.00 90.00 120.00
Atoms (fractional coordinates):
Na1 0.164 0.329 0.259
Na2 0.164 0.836 0.259
Rb1 0.000 0.000 0.933
Rb2 0.667 0.333 0.063
Na3 0.999 0.499 0.741
Na4 0.333 0.667 0.501
Na5 0.333 0.667 0.002
Na6 0.501 0.499 0.741
Na7 0.501 0.001 0.741
Rb3 0.667 0.333 0.440
Sr1 0.000 0.000 0.562
Na8 0.671 0.836 0.259

Output
Calculated total energy   -1.240 eV per atom
N(E_F)   6.59 states/eV per cell

Entry 7:
RbNa4Sr | PBE | relaxed

abc: 6.217 6.217 8.888
angles: 90.00 90.00 120.00
Atoms (fractional coordinates):
Na1 0.667 0.333 0.789
Na2 0.333 0.667 0.789
Na3 0.667 0.333 0.211
Rb1 0.000 0.000 0.500
Na4 0.333 0.667 0.211
Sr1 0.000 0.000 0.000

Output
Calculated total energy   -1.264 eV per atom
Distance to the lowest polymorph of the same formula   11 meV per atom
N(E_F)   4.60 states/eV per cell

Entry 8:
Rb3Na3Sr | PBE | relaxed

abc: 10.500 10.500 10.500
angles: 90.00 90.00 90.00
Atoms (fractional coordinates):
Na1 0.250 0.500 0.000
Rb1 0.500 0.250 0.000
Na2 0.750 0.500 0.000
Sr1 0.500 0.500 0.500
Rb2 0.250 0.000 0.500
Sr2 0.000 0.000 0.000
Rb3 0.000 0.500 0.250
Na3 0.500 0.000 0.750
Na4 0.500 0.000 0.250
Rb4 0.750 0.000 0.500
Rb5 0.000 0.500 0.750
Rb6 0.500 0.750 0.000
Na5 0.000 0.250 0.500
Na6 0.000 0.750 0.500

Output
Calculated total energy   -0.853 eV per atom
N(E_F)   8.23 states/eV per cell